## DyCuSn (PBE)

Data for crystalline DyCuSn at its relaxed geometry.

Cell lengths 6.157, 6.157, 6.157 Å; angles 148.02, 148.02, 45.85 degrees
Element x y z (fractional)
1 Dy 0.000 0.000 0.000
2 Cu 0.654 0.654 0.000
3 Sn 0.294 0.294 0.000

Output
**ΔH_f (0 K)**: -27.33 kJ/mol of atoms

## KAs2F (PBE)

Data for crystalline KAs2F at its relaxed geometry.

Cell lengths 15.001, 15.001, 15.001 Å; angles 165.55, 165.55, 20.49 degrees
Element x y z (fractional)
1 K 0.000 0.000 0.000
2 K 0.750 0.250 0.500
3 As 0.179 0.125 0.554
4 As 0.375 0.821 0.946
5 As 0.571 0.625 0.446
6 As 0.875 0.429 0.054
7 F 0.250 0.750 0.500
8 F 0.500 0.500 0.000

Output
**Uncorrected formation energy**: -4.08 eV per formula unit

Question: Which formula does entry 1 have?
Answer: DyCuSn

Please write out number 1 again, unchanged.
## DyCuSn (PBE)

Data for crystalline DyCuSn at its relaxed geometry.

Cell lengths 6.157, 6.157, 6.157 Å; angles 148.02, 148.02, 45.85 degrees
Element x y z (fractional)
1 Dy 0.000 0.000 0.000
2 Cu 0.654 0.654 0.000
3 Sn 0.294 0.294 0.000

Output
**ΔH_f (0 K)**: -27.33 kJ/mol of atoms